# 1
ZrTl2As | PBE-GGA | optimized geometry

It has space group Fm-3m (No. 225), with a = 7.327 Å, b = 7.327 Å, c = 7.327 Å, α = 90.00°, β = 90.00° and γ = 90.00°. The inequivalent atoms are Zr at (0.000, 0.000, 0.000), Tl at (0.250, 0.250, 0.250) and As at (0.000, 0.000, 0.500).

The uncorrected energy comes out at -4.10 eV per atom. For the formation energy, the calculation gives 0.381 eV/atom.

---

# 2
FeHg2Pb | PBE-GGA | optimized geometry

It has space group Cm (No. 8), with a = 14.436 Å, b = 3.000 Å, c = 4.676 Å, α = 90.00°, β = 108.82° and γ = 90.00°. The inequivalent atoms are Fe at (0.000, 0.000, 0.000), Hg at (0.006, 0.500, 0.505), Hg at (0.328, 0.000, 0.827) and Pb at (0.185, 0.500, 0.184).

The uncorrected energy comes out at -2.87 eV per atom. For the formation energy, the calculation gives 0.320 eV/atom.

---

# 3
Ti2NbRh2 | PBE-GGA | optimized geometry

It has space group P4/mbm (No. 127), with a = 7.427 Å, b = 7.427 Å, c = 2.881 Å, α = 90.00°, β = 90.00° and γ = 90.00°. The inequivalent atoms are Ti at (0.153, 0.347, 0.000), Nb at (0.000, 0.000, 0.000) and Rh at (0.148, 0.648, 0.500).

The uncorrected energy comes out at -8.59 eV per atom. For the formation energy, the calculation gives -0.473 eV/atom.

---

# 4
LaY2Tm6 | PBE-GGA | optimized geometry

It has space group C2/m (No. 12), with a = 12.515 Å, b = 3.634 Å, c = 13.158 Å, α = 90.00°, β = 107.25° and γ = 90.00°. The inequivalent atoms are La at (0.000, 0.000, 0.000), Y at (0.168, 0.500, 0.256), Tm at (0.041, 0.000, 0.684), Tm at (0.144, 0.500, 0.518) and Tm at (0.193, 0.500, 0.892).

The uncorrected energy comes out at -4.92 eV per atom. For the formation energy, the calculation gives 0.049 eV/atom.